(1)
Entry from Alexandria: Na2TeMoSe at its PBEsol-relaxed geometry (meta-GGA SCAN).

For the total energy, the calculation gives -20.2484 eV per atom. The value obtained for the volume is 25.7 Å³ per atom.

The space group is P4/mmm (No. 123) and the conventional cell measures 5.1733, 5.1733 and 4.8038 Å, with angles of 90.00, 90.00 and 90.00 degrees. Symmetry generates all atoms from Na at (0.0000, 0.5000, 0.0000), Te at (0.0000, 0.0000, 0.5000), Mo at (0.5000, 0.5000, 0.5000) and Se at (0.5000, 0.5000, 0.0000).

(2)
Entry from Alexandria: ZnCu2Au at its PBEsol-relaxed geometry (meta-GGA SCAN).

The calculation puts the energy relative to the elements at -0.43 eV/f.u. The value obtained for the volume is 13.3 Å³ per atom.

The space group is Pmmm (No. 47) and the conventional cell measures 2.7594, 3.5858 and 5.3839 Å, with angles of 90.00, 90.00 and 90.00 degrees. Symmetry generates all atoms from Zn at (0.0000, 0.0000, 0.0000), Cu at (0.5000, 0.5000, 0.2339) and Au at (0.0000, 0.0000, 0.5000).

(3)
Entry from Alexandria: MgIn3 at its PBEsol-relaxed geometry (meta-GGA SCAN).

The calculation puts the energy relative to the elements at -0.28 eV/f.u. The value obtained for the volume is 23.8 Å³ per atom.

The space group is Pm-3m (No. 221) and the conventional cell measures 4.5663, 4.5663 and 4.5663 Å, with angles of 90.00, 90.00 and 90.00 degrees. Symmetry generates all atoms from Mg at (0.0000, 0.0000, 0.0000) and In at (0.0000, 0.5000, 0.5000).

(4)
Entry from Alexandria: LaYCl at its PBEsol-relaxed geometry (meta-GGA SCAN).

For the total energy, the calculation gives -26.8846 eV per atom. The value obtained for the volume is 26.6 Å³ per atom.

The space group is F-43m (No. 216) and the conventional cell measures 6.8356, 6.8356 and 6.8356 Å, with angles of 90.00, 90.00 and 90.00 degrees. Symmetry generates all atoms from La at (0.0000, 0.0000, 0.0000), Y at (0.0000, 0.0000, 0.5000) and Cl at (0.2500, 0.2500, 0.2500).

(5)
Entry from Alexandria: LaHg2Br at its PBEsol-relaxed geometry (meta-GGA SCAN).

As for the energy relative to the lowest polymorph listed for this composition: 76 meV per atom. The value obtained for the volume is 27.2 Å³ per atom.

The space group is Cmmm (No. 65) and the conventional cell measures 5.9384, 9.8822 and 3.7089 Å, with angles of 90.00, 90.00 and 90.00 degrees. Symmetry generates all atoms from La at (0.0000, 0.0000, 0.0000), Hg at (0.2500, 0.2500, 0.5000) and Br at (0.0000, 0.5000, 0.0000).

(6)
Entry from Alexandria: LiMg2Co at its PBEsol-relaxed geometry (meta-GGA SCAN).

The calculation puts the energy relative to the elements at 0.45 eV/f.u. The value obtained for the volume is 15.6 Å³ per atom.

The space group is Cm (No. 8) and the conventional cell measures 9.7851, 2.8937 and 4.6347 Å, with angles of 90.00, 108.27 and 90.00 degrees. Symmetry generates all atoms from Li at (0.0000, 0.0000, 0.0000), Mg at (0.2306, 0.0000, 0.7959), Mg at (0.4504, 0.0000, 0.4468) and Co at (0.2152, 0.5000, 0.2932).

(7)
Entry from Alexandria: RhWAu2 at its PBEsol-relaxed geometry (meta-GGA SCAN).

As for the energy relative to the lowest polymorph listed for this composition: 0 meV per atom. The calculation puts the energy relative to the elements at 0.88 eV/f.u. The value obtained for the volume is 15.4 Å³ per atom.

The space group is I-4m2 (No. 119) and the conventional cell measures 3.9198, 3.9198 and 8.0163 Å, with angles of 90.00, 90.00 and 90.00 degrees. Symmetry generates all atoms from Rh at (0.0000, 0.0000, 0.0000), W at (0.0000, 0.5000, 0.7500), Au at (0.0000, 0.0000, 0.5000) and Au at (0.0000, 0.5000, 0.2500).

(8)
Entry from Alexandria: MnCu at its PBEsol-relaxed geometry (meta-GGA SCAN).

The calculation puts the energy relative to the elements at 0.24 eV/f.u. The value obtained for the volume is 11.0 Å³ per atom.

The space group is Fd-3m (No. 227, origin choice 2) and the conventional cell measures 5.5989, 5.5989 and 5.5989 Å, with angles of 90.00, 90.00 and 90.00 degrees. Symmetry generates all atoms from Mn at (0.1250, 0.1250, 0.1250) and Cu at (0.1250, 0.1250, 0.6250).

(9)
Entry from Alexandria: Cd3Ni at its PBEsol-relaxed geometry (meta-GGA SCAN).

The calculation puts the energy relative to the elements at 0.26 eV/f.u. The value obtained for the volume is 17.4 Å³ per atom.

The space group is P4/mmm (No. 123) and the conventional cell measures 3.0552, 3.0552 and 7.4711 Å, with angles of 90.00, 90.00 and 90.00 degrees. Symmetry generates all atoms from Cd at (0.0000, 0.0000, 0.0000), Cd at (0.5000, 0.5000, 0.2897) and Ni at (0.0000, 0.0000, 0.5000).

(10)
Entry from Alexandria: SbSe7 at its PBEsol-relaxed geometry (meta-GGA SCAN).

For the total energy, the calculation gives -21.4811 eV per atom. The value obtained for the volume is 20.2 Å³ per atom.

The space group is Fm-3m (No. 225) and the conventional cell measures 8.6475, 8.6475 and 8.6475 Å, with angles of 90.00, 90.00 and 90.00 degrees. Symmetry generates all atoms from Sb at (0.0000, 0.0000, 0.0000), Se at (0.0000, 0.0000, 0.5000) and Se at (0.0000, 0.2500, 0.2500).

(11)
Entry from Alexandria: CdCuOs2 at its PBEsol-relaxed geometry (meta-GGA SCAN).

The calculation puts the energy relative to the elements at 0.96 eV/f.u. The value obtained for the volume is 14.6 Å³ per atom.

The space group is P4mm (No. 99) and the conventional cell measures 2.8004, 2.8004 and 7.4447 Å, with angles of 90.00, 90.00 and 90.00 degrees. Symmetry generates all atoms from Cd at (0.0000, 0.0000, 0.0000), Cu at (0.5000, 0.5000, 0.2538), Os at (0.0000, 0.0000, 0.4902) and Os at (0.5000, 0.5000, 0.7118).

(12)
Entry from Alexandria: ScSb2 at its PBEsol-relaxed geometry (meta-GGA SCAN).

For the total energy, the calculation gives -30.1904 eV per atom. The value obtained for the volume is 22.8 Å³ per atom.

The space group is I4/mmm (No. 139) and the conventional cell measures 3.7708, 3.7708 and 9.6354 Å, with angles of 90.00, 90.00 and 90.00 degrees. Symmetry generates all atoms from Sc at (0.0000, 0.0000, 0.0000) and Sb at (0.0000, 0.0000, 0.3452).

(13)
Entry from Alexandria: BaRe2Ge2 at its PBEsol-relaxed geometry (meta-GGA SCAN).

The calculation puts the energy relative to the elements at 0.67 eV/f.u. The value obtained for the volume is 20.7 Å³ per atom.

The space group is I4/mmm (No. 139) and the conventional cell measures 4.6566, 4.6566 and 9.5361 Å, with angles of 90.00, 90.00 and 90.00 degrees. Symmetry generates all atoms from Ba at (0.0000, 0.0000, 0.0000), Re at (0.0000, 0.0000, 0.3790) and Ge at (0.0000, 0.5000, 0.2500).

(14)
Entry from Alexandria: ZnRh2Br at its PBEsol-relaxed geometry (meta-GGA SCAN).

As for the energy relative to the lowest polymorph listed for this composition: 54 meV per atom. The value obtained for the volume is 14.9 Å³ per atom.

The space group is Cm (No. 8) and the conventional cell measures 9.4240, 3.0328 and 4.2640 Å, with angles of 90.00, 102.86 and 90.00 degrees. Symmetry generates all atoms from Zn at (0.0000, 0.0000, 0.0000), Rh at (0.2338, 0.5000, 0.1042), Rh at (0.4962, 0.0000, 0.4922) and Br at (0.2505, 0.0000, 0.5991).

(15)
Entry from Alexandria: MgP2O at its PBEsol-relaxed geometry (meta-GGA SCAN).

For the total energy, the calculation gives -8.1419 eV per atom. The value obtained for the volume is 16.7 Å³ per atom.

The space group is I-42d (No. 122) and the conventional cell measures 4.5660, 4.5660 and 12.8152 Å, with angles of 90.00, 90.00 and 90.00 degrees. Symmetry generates all atoms from Mg at (0.0000, 0.0000, 0.0000), P at (0.0781, 0.2500, 0.6250) and O at (0.0000, 0.0000, 0.5000).

(16)
Entry from Alexandria: Y5Ag3 at its PBEsol-relaxed geometry (meta-GGA SCAN).

As for the energy relative to the lowest polymorph listed for this composition: 21 meV per atom. The calculation puts the energy relative to the elements at -2.08 eV/f.u. The value obtained for the volume is 25.3 Å³ per atom.

The space group is P6_3/mcm (No. 193) and the conventional cell measures 8.6606, 8.6606 and 6.2247 Å, with angles of 90.00, 90.00 and 120.00 degrees. Symmetry generates all atoms from Y at (0.0000, 0.2399, 0.2500), Y at (0.3333, 0.6667, 0.0000) and Ag at (0.0000, 0.4027, 0.7500).

(17)
Entry from Alexandria: Sr2La2CuRuO8 at its PBEsol-relaxed geometry (meta-GGA SCAN).

For the total energy, the calculation gives -19.0694 eV per atom. The value obtained for the volume is 13.1 Å³ per atom.

The space group is P4/mmm (No. 123) and the conventional cell measures 3.8232, 3.8232 and 12.5778 Å, with angles of 90.00, 90.00 and 90.00 degrees. Symmetry generates all atoms from Sr at (0.0000, 0.0000, 0.1418), La at (0.5000, 0.5000, 0.3592), Cu at (0.0000, 0.0000, 0.5000), Ru at (0.5000, 0.5000, 0.0000), O at (0.0000, 0.0000, 0.3279), O at (0.0000, 0.5000, 0.0000), O at (0.0000, 0.5000, 0.5000) and O at (0.5000, 0.5000, 0.1682).

(18)
Entry from Alexandria: RbLaP2Au at its PBEsol-relaxed geometry (meta-GGA SCAN).

The calculation puts the energy relative to the elements at 0.75 eV/f.u. The value obtained for the volume is 28.1 Å³ per atom.

The space group is P4/mmm (No. 123) and the conventional cell measures 5.1431, 5.1431 and 5.3070 Å, with angles of 90.00, 90.00 and 90.00 degrees. Symmetry generates all atoms from Rb at (0.0000, 0.0000, 0.0000), La at (0.5000, 0.5000, 0.0000), P at (0.0000, 0.5000, 0.5000) and Au at (0.5000, 0.5000, 0.5000).

(19)
Entry from Alexandria: TeAs2O2 at its PBEsol-relaxed geometry (meta-GGA SCAN).

For the total energy, the calculation gives -18.4048 eV per atom. The value obtained for the volume is 15.4 Å³ per atom.

The space group is I4/mmm (No. 139) and the conventional cell measures 3.6356, 3.6356 and 11.6858 Å, with angles of 90.00, 90.00 and 90.00 degrees. Symmetry generates all atoms from Te at (0.0000, 0.0000, 0.0000), As at (0.0000, 0.0000, 0.3442) and O at (0.0000, 0.5000, 0.2500).

(20)
Entry from Alexandria: Ba2TaPt at its PBEsol-relaxed geometry (meta-GGA SCAN).

As for the energy relative to the lowest polymorph listed for this composition: 0 meV per atom. The calculation puts the energy relative to the elements at 0.06 eV/f.u. The value obtained for the volume is 33.2 Å³ per atom.

The space group is C2/m (No. 12) and the conventional cell measures 19.5069, 3.5646 and 3.8936 Å, with angles of 90.00, 101.31 and 90.00 degrees. Symmetry generates all atoms from Ba at (0.1481, 0.0000, 0.1450), Ta at (0.0000, 0.0000, 0.5000) and Pt at (0.0000, 0.5000, 0.0000).